VASP calculation (PBE+U) on a relaxed FeNi2WO6 crystal.

Computed properties:
total energy = -6.287 eV/atom
DOS(E_F) = 0.00 states/eV/cell

Cell lengths 5.212, 5.177, 5.572 Å; angles 63.04, 62.24, 59.89 degrees
Last column: magnetic moment on the atom in μB.
Element x y z (fractional)
Ni1 0.517 0.520 0.444  1.77
Ni2 0.017 0.019 0.947  1.77
O1 0.709 0.117 0.761  0.09
O2 0.234 0.943 0.240  0.06
O3 0.410 0.702 0.764  0.09
O4 0.941 0.587 0.248  0.06
O5 0.582 0.234 0.240  0.06
O6 0.120 0.408 0.767  0.09
W1 0.318 0.320 0.041  0.12
Fe1 0.813 0.812 0.564  3.76